## ZrAsAu (PBE)

Data for a relaxed structure of ZrAsAu.

ΔE_f (eV/atom): -0.59
Space-group type: Cm (8)

Cell: 6.823 3.689 10.408 Å, 90.00 113.31 90.00°
Atoms (fractional coordinates):
Zr 0.824 0.500 0.763
As 0.122 0.000 0.918
As 0.498 0.500 0.204
Zr 0.824 0.000 0.263
Au 0.761 0.500 0.488
As 0.498 0.000 0.704
As 0.122 0.500 0.418
Zr 0.407 0.500 0.896
Au 0.761 0.000 0.988
Zr 0.407 0.000 0.396
Au 0.089 0.500 0.146
Au 0.089 0.000 0.646

---

## TlCdFe4 (PBE)

Data for a relaxed structure of TlCdFe4.

ΔE_f (eV/atom): 0.35
Space-group type: F-43m (216)

Cell: 5.048 5.048 5.048 Å, 60.00 60.00 60.00°
Each line ends with the local moment (μB).
Atoms (fractional coordinates):
Fe 0.123 0.626 0.626  2.47
Fe 0.626 0.626 0.626  2.47
Cd 0.000 0.000 0.000  -0.07
Fe 0.626 0.123 0.626  2.47
Tl 0.250 0.250 0.250  -0.07
Fe 0.626 0.626 0.123  2.47

---

## Sc4ZnP (PBE)

Data for a relaxed structure of Sc4ZnP.

ΔE_f (eV/atom): 0.33
Space-group type: F-43m (216)

Cell: 5.666 5.666 5.666 Å, 60.00 60.00 60.00°
Atoms (fractional coordinates):
Sc 0.375 0.875 0.375
Sc 0.875 0.375 0.375
Sc 0.375 0.375 0.375
P 0.000 0.000 0.000
Zn 0.750 0.750 0.750
Sc 0.375 0.375 0.875

---

## Tl3InBi (PBE)

Data for a relaxed structure of Tl3InBi.

E above lowest polymorph (eV/atom): 0.0592
ΔE_f (eV/atom): 0.10
Space-group type: Cmcm (63)

Cell: 6.271 6.680 9.251 Å, 68.84 90.00 90.00°
Atoms (fractional coordinates):
Tl 0.750 0.406 0.706
Bi 0.250 0.181 0.639
Tl 0.250 0.112 0.294
Tl 0.750 0.888 0.706
Tl 0.000 0.000 0.000
In 0.750 0.310 0.380
Tl 0.500 0.000 0.000
In 0.250 0.690 0.620
Tl 0.250 0.594 0.294
Bi 0.750 0.819 0.361

---

## TiAlSi (PBE)

Data for a relaxed structure of TiAlSi.

Space-group type: P-6m2 (187)
ΔE_f (raw) (eV per atom): -0.263

Cell: 2.720 4.375 4.375 Å, 120.00 90.00 90.00°
Each line ends with the local moment (μB).
Atoms (fractional coordinates):
Si 0.167 0.667 0.333  -0.01
Ti 0.666 0.333 0.667  0.21
Al 0.166 0.000 0.000  0.00

---

## Ca3YCl (PBE)

Data for a relaxed structure of Ca3YCl.

E above lowest polymorph (eV/atom): 0.9746
Space-group type: Pm-3m (221)
ΔE_f (raw) (eV per atom): 0.563

Cell: 6.330 6.330 6.330 Å, 90.00 90.00 90.00°
Each line ends with the local moment (μB).
Atoms (fractional coordinates):
Ca 0.500 0.000 0.000  0.15
Ca 0.000 0.500 0.000  0.25
Y 0.000 0.000 0.000  1.13
Ca 0.000 0.000 0.500  0.28
Cl 0.500 0.500 0.500  0.07

---

no.,final energy (eV/atom),Fermi-level density of states (states/eV per cell)
1,-6.08,4.8
2,-5.84,4.9
3,-5.01,8.9
4,-2.64,3.2
5,-5.95,2.9
6,-2.30,7.1